# CuAg2SnSe3S

An optimized crystal structure of CuAg2SnSe3S (PBE, OQMD via LeMat-Bulk).

Lattice parameters (Å, degrees): 5.7350 5.7350 7.3309 112.32 112.32 91.40
With the nearest neighbours (Å) after each atom.
Atoms (fractional coordinates):
Ag: 0.7311 0.2573 0.4902  1 S 2.52, 3 Se 2.63-2.64
Ag: 0.2573 0.7311 0.4902  1 S 2.52, 3 Se 2.63-2.64
Cu: 0.0128 0.0128 0.0099  1 S 2.29, 3 Se 2.43-2.44
S: 0.3525 0.3525 0.2291  1 Cu 2.29, 1 Sn 2.48, 2 Ag 2.52
Se: 0.8837 0.8837 0.2430  1 Cu 2.43, 1 Sn 2.61, 2 Ag 2.64
Se: 0.6485 0.1177 0.7673  1 Cu 2.44, 1 Sn 2.62, 2 Ag 2.63-2.64
Se: 0.1177 0.6485 0.7673  1 Cu 2.44, 1 Sn 2.62, 2 Ag 2.63-2.64
Sn: 0.4963 0.4963 0.0031  1 S 2.48, 3 Se 2.61-2.62

Results
The calculation puts the total energy at -29.72 eV/f.u. As for the space group: Cm, No. 8. As for the crystal system: monoclinic.